Density functional theory data (PBE with a Hubbard U) for an optimized crystal structure of KCrBiO4.

Cell and atoms, written as CIF:
```
data_KCrBiO4
_chemical_formula_sum 'K2 Cr2 Bi2 O8'
_cell_length_a 5.960
_cell_length_b 5.862
_cell_length_c 8.120
_cell_angle_alpha 90.00
_cell_angle_beta 103.53
_cell_angle_gamma 90.00
_space_group_name_H-M_alt 'P 1 21/m 1'
_space_group_IT_number 11
_space_group_name_Hall '-P 2yb'
loop_
_atom_site_label
_atom_site_type_symbol
_atom_site_fract_x
_atom_site_fract_y
_atom_site_fract_z
K1 K 0.175 0.250 0.154
Cr1 Cr 0.253 0.250 0.685
Bi1 Bi 0.275 0.750 0.483
O1 O 0.061 0.250 0.814
O2 O 0.075 0.250 0.464
O3 O 0.438 0.002 0.679
```

Summary:
calculated total energy: -6.0839 eV per atom
size of the total moment: 2.00 μB/f.u.
volume: 19.70 Å³ per atom